No. 1
DFT (PBE) results for crystalline KSr2In2 at its relaxed geometry.

**VASP energy**: -2.25 eV per atom
**Density of states at the Fermi level**: 5.90 states/eV per cell
**V**: 39.180 Å³ per atom

Unit cell a=9.5524 b=9.5524 c=4.2938 alpha=90.00 beta=90.00 gamma=90.00
With the nearest neighbours (Å) after each atom.
Fractional positions:
Sr (0.1736, 0.6736, 0.5000)  6 In 3.54-3.56
Sr (0.6736, 0.8264, 0.5000)  6 In 3.54-3.56
Sr (0.8264, 0.3264, 0.5000)  6 In 3.54-3.56
Sr (0.3264, 0.1736, 0.5000)  6 In 3.54-3.56
K (0.0000, 0.0000, 0.0000)  4 In 3.83, 8 Sr 4.13
K (0.5000, 0.5000, 0.0000)  4 In 3.83, 8 Sr 4.13
In (0.3841, 0.8841, 0.0000)  1 In 3.13
In (0.8841, 0.6159, 0.0000)  1 In 3.13
In (0.6159, 0.1159, 0.0000)  1 In 3.13
In (0.1159, 0.3841, 0.0000)  1 In 3.13

=====

No. 2
DFT (PBE) results for crystalline InHgPO2 at its relaxed geometry.

**Density of states at the Fermi level**: 3.01 states/eV per cell
**E_form (uncorrected)**: 40 meV per atom
**V**: 19.224 Å³ per atom

Unit cell a=4.0599 b=4.0599 c=5.8314 alpha=90.00 beta=90.00 gamma=90.00
With the nearest neighbours (Å) after each atom.
Fractional positions:
P (0.0000, 0.0000, 0.5000)  4 Hg 2.87, 2 In 2.92
Hg (0.5000, 0.5000, 0.5000)  4 P 2.87
O (0.0000, 0.5000, 0.0000)  2 In 2.03
O (0.5000, 0.0000, 0.0000)  2 In 2.03
In (0.0000, 0.0000, 0.0000)  4 O 2.03

=====

No. 3
DFT (PBE) results for crystalline Ta4RuBr at its relaxed geometry.

**Density of states at the Fermi level**: 5.76 states/eV per cell
**E_form (uncorrected)**: 865 meV per atom
**V**: 19.124 Å³ per atom

Unit cell a=5.4544 b=5.4544 c=5.4544 alpha=60.00 beta=60.00 gamma=60.00
With the nearest neighbours (Å) after each atom.
Fractional positions:
Ta (0.8766, 0.3745, 0.3745)  6 Ta 2.72-2.74
Ta (0.3745, 0.3745, 0.8766)  6 Ta 2.72-2.74
Ta (0.3745, 0.8766, 0.3745)  6 Ta 2.72-2.74
Ta (0.3745, 0.3745, 0.3745)  6 Ta 2.72-2.74
Ru (0.0000, 0.0000, 0.0000)  12 Ta 3.20, 4 Br 3.34
Br (0.7500, 0.7500, 0.7500)  12 Ta 3.20, 4 Ru 3.34

=====

No. 4
DFT (PBE) results for crystalline KBa2Pb at its relaxed geometry.

**VASP energy**: -2.31 eV per atom
**Density of states at the Fermi level**: 2.46 states/eV per cell
**V**: 44.489 Å³ per atom

Unit cell a=6.9566 b=6.9566 c=6.9566 alpha=132.79 beta=132.79 gamma=68.98
With the nearest neighbours (Å) after each atom.
Fractional positions:
Ba (0.0000, 0.0000, 0.0000)  4 K 3.94, 4 Pb 4.00, 4 Ba 4.00
Ba (0.2500, 0.7500, 0.5000)  4 Pb 3.94, 4 Ba 4.00, 4 K 4.00
K (0.5000, 0.5000, 0.0000)  8 Ba 3.94-4.00, 4 Pb 4.00
Pb (0.7500, 0.2500, 0.5000)  8 Ba 3.94-4.00, 4 K 4.00

=====

No. 5
DFT (PBE) results for crystalline Pr3Sm2ScTe6 at its relaxed geometry.

**Density of states at the Fermi level**: 6.98 states/eV per cell
**E_form (uncorrected)**: -1357 meV per atom
**V**: 31.061 Å³ per atom

Unit cell a=4.4109 b=8.9574 c=9.9551 alpha=103.30 beta=102.80 gamma=90.00
With the nearest neighbours (Å) after each atom.
Fractional positions:
Pr (0.5000, 0.5000, 0.0000)  6 Te 3.16-3.27
Pr (0.8264, 0.1624, 0.6528)  6 Te 3.17-3.26
Pr (0.1736, 0.8376, 0.3472)  6 Te 3.17-3.26
Sm (0.8320, 0.6654, 0.6639)  6 Te 3.11-3.19
Sm (0.1680, 0.3346, 0.3361)  6 Te 3.11-3.19
Sc (0.5000, 0.0000, 0.0000)  6 Te 2.95-3.02
Te (0.3439, 0.9173, 0.6877)  1 Sc 2.95, 2 Sm 3.12, 3 Pr 3.19-3.21
Te (0.6673, 0.5799, 0.3346)  3 Sm 3.11-3.12, 3 Pr 3.16-3.17
Te (0.6561, 0.0827, 0.3123)  1 Sc 2.95, 2 Sm 3.12, 3 Pr 3.19-3.21
Te (0.9990, 0.2306, 0.9980)  2 Sc 3.02, 1 Sm 3.19, 3 Pr 3.26-3.27
Te (0.0010, 0.7694, 0.0020)  2 Sc 3.02, 1 Sm 3.19, 3 Pr 3.26-3.27
Te (0.3327, 0.4201, 0.6654)  3 Sm 3.11-3.12, 3 Pr 3.16-3.17

=====

No. 6
DFT (PBE) results for crystalline ScSbRh4 at its relaxed geometry.

**Density of states at the Fermi level**: 2.65 states/eV per cell
**E_form (uncorrected)**: -361 meV per atom
**V**: 16.852 Å³ per atom

Unit cell a=5.2292 b=5.2292 c=5.2292 alpha=60.00 beta=60.00 gamma=60.00
With the nearest neighbours (Å) after each atom.
Fractional positions:
Sc (0.0000, 0.0000, 0.0000)  12 Rh 3.07, 4 Sb 3.20
Sb (0.7500, 0.7500, 0.7500)  12 Rh 3.07, 4 Sc 3.20
Rh (0.8739, 0.3754, 0.3754)  6 Rh 2.61-2.62
Rh (0.3754, 0.3754, 0.8739)  6 Rh 2.61-2.62
Rh (0.3754, 0.8739, 0.3754)  6 Rh 2.61-2.62
Rh (0.3754, 0.3754, 0.3754)  6 Rh 2.61-2.62

=====

No. 7
DFT (PBE) results for crystalline BaLaRe2 at its relaxed geometry.

**VASP energy**: -6.73 eV per atom
**Density of states at the Fermi level**: 4.76 states/eV per cell
**V**: 22.445 Å³ per atom

Unit cell a=3.0608 b=3.0608 c=10.3101 alpha=90.00 beta=90.00 gamma=111.64
With the nearest neighbours (Å) after each atom.
Fractional positions:
Re (0.0000, 0.0000, 0.9816)  2 La 2.94, 4 Re 3.06, 2 Ba 3.26
Re (0.0000, 0.0000, 0.5184)  2 La 2.94, 4 Re 3.06, 2 Ba 3.26
Ba (0.5000, 0.5000, 0.2500)  4 Ba 3.06, 4 Re 3.26
La (0.5000, 0.5000, 0.7500)  4 Re 2.94, 4 La 3.06

=====

No. 8
DFT (PBE) results for crystalline Be4IrW at its relaxed geometry.

**VASP energy**: -6.42 eV per atom
**Density of states at the Fermi level**: 2.06 states/eV per cell
**V**: 10.112 Å³ per atom

Unit cell a=4.4107 b=4.4107 c=4.4107 alpha=60.00 beta=60.00 gamma=60.00
With the nearest neighbours (Å) after each atom.
Fractional positions:
Be (0.8848, 0.3717, 0.3717)  6 Be 2.15-2.26
Be (0.3717, 0.3717, 0.8848)  6 Be 2.15-2.26
Be (0.3717, 0.8848, 0.3717)  6 Be 2.15-2.26
Be (0.3717, 0.3717, 0.3717)  6 Be 2.15-2.26
Ir (0.7500, 0.7500, 0.7500)  12 Be 2.59, 4 W 2.70
W (0.0000, 0.0000, 0.0000)  12 Be 2.58, 4 Ir 2.70

=====

No. 9
DFT (PBE) results for crystalline RbNa2Hg4Pb at its relaxed geometry.

**VASP energy**: -1.25 eV per atom
**Density of states at the Fermi level**: 4.06 states/eV per cell
**V**: 32.258 Å³ per atom

Unit cell a=5.2330 b=5.2330 c=11.2935 alpha=76.60 beta=76.60 gamma=60.00
With the nearest neighbours (Å) after each atom.
Fractional positions:
Rb (0.0000, 0.0000, 0.0000)  8 Hg 3.70-3.97
Na (0.7743, 0.7743, 0.6770)  7 Hg 3.06-3.40
Na (0.2257, 0.2257, 0.3230)  7 Hg 3.06-3.40
Hg (0.3986, 0.3986, 0.8041)  1 Pb 3.31, 3 Na 3.32, 3 Hg 3.54, 3 Rb 3.70
Hg (0.8783, 0.8783, 0.3650)  4 Na 3.06-3.40, 3 Pb 3.36
Hg (0.1217, 0.1217, 0.6350)  4 Na 3.06-3.40, 3 Pb 3.36
Hg (0.6014, 0.6014, 0.1959)  1 Pb 3.31, 3 Na 3.32, 3 Hg 3.54, 3 Rb 3.70
Pb (0.5000, 0.5000, 0.5000)  8 Hg 3.31-3.36, 6 Na 3.58

=====

No. 10
DFT (PBE) results for crystalline LiAc2Al3Ge4 at its relaxed geometry.

**VASP energy**: -4.42 eV per atom
**Density of states at the Fermi level**: 4.39 states/eV per cell
**V**: 22.171 Å³ per atom

Unit cell a=4.7557 b=4.7557 c=9.8028 alpha=90.00 beta=90.00 gamma=90.00
With the nearest neighbours (Å) after each atom.
Fractional positions:
Li (0.5000, 0.5000, 0.5000)  4 Ge 2.69
Ac (0.5000, 0.0000, 0.2449)  9 Ge 3.38-3.75, 2 Li 3.45, 7 Al 3.45-3.60
Ac (0.0000, 0.5000, 0.7551)  9 Ge 3.38-3.75, 2 Li 3.45, 7 Al 3.45-3.60
Al (0.0000, 0.0000, 0.5000)  4 Ge 2.69
Al (0.5000, 0.0000, 0.8873)  5 Ge 2.55-2.62
Al (0.0000, 0.5000, 0.1127)  5 Ge 2.55-2.62
Ge (0.5000, 0.5000, 0.0000)  4 Al 2.62
Ge (0.0000, 0.0000, 0.0000)  4 Al 2.62
Ge (0.5000, 0.0000, 0.6276)  3 Al 2.55-2.69, 2 Li 2.69
Ge (0.0000, 0.5000, 0.3724)  3 Al 2.55-2.69, 2 Li 2.69

=====

No. 11
DFT (PBE) results for crystalline FeTe2BrN at its relaxed geometry.

**Density of states at the Fermi level**: 5.94 states/eV per cell
**E_form (uncorrected)**: 1668 meV per atom
**V**: 24.374 Å³ per atom

Unit cell a=5.7814 b=5.7814 c=3.6461 alpha=90.00 beta=90.00 gamma=90.00
With the nearest neighbours (Å) after each atom.
Fractional positions:
Te (0.0000, 0.5000, 0.0000)  2 Br 2.89
Te (0.5000, 0.0000, 0.0000)  2 Br 2.89
Fe (0.5000, 0.5000, 0.5000)  8 Te 3.42, 2 Fe 3.65
Br (0.0000, 0.0000, 0.0000)  2 N 1.82
N (0.0000, 0.0000, 0.5000)  2 Br 1.82

=====

No. 12
DFT (PBE) results for crystalline PuGa2Sn at its relaxed geometry.

**VASP energy**: -6.27 eV per atom
**Density of states at the Fermi level**: 6.71 states/eV per cell
**V**: 22.349 Å³ per atom

Unit cell a=3.6512 b=3.6512 c=6.7057 alpha=90.00 beta=90.00 gamma=90.00
With the nearest neighbours (Å) after each atom.
Fractional positions:
Sn (0.5000, 0.5000, 0.0000)  8 Ga 2.98
Ga (0.0000, 0.0000, 0.7783)  1 Ga 2.97, 4 Sn 2.98, 4 Pu 3.19
Ga (0.0000, 0.0000, 0.2217)  1 Ga 2.97, 4 Sn 2.98, 4 Pu 3.19
Pu (0.5000, 0.5000, 0.5000)  8 Ga 3.19, 2 Sn 3.35